# 1
Entry from Alexandria: a relaxed YTc2Ru2 crystal (PBE-GGA).

Cell lengths 7.704, 7.704, 2.811 Å; angles 90.00, 90.00, 90.00 degrees
Space group P4/mbm (No. 127)
One atom of each set of equivalent atoms:
1 Y 0.000 0.000 0.000 (multiplicity 2)
2 Tc 0.119 0.381 0.000 (multiplicity 4)
3 Ru 0.170 0.670 0.500 (multiplicity 4)

Computed properties:
E_tot, eV per atom: -9.095
Formation energy, eV per formula unit: 0.3
Magnetic moment, μB/f.u.: 0.00
Calculated volume, A^3/atom: 16.68
Mass density, g/cm³: 9.7

# 2
Entry from Alexandria: a relaxed YTc2Ru crystal (PBE-GGA).

Cell lengths 7.520, 7.520, 5.364 Å; angles 90.00, 90.00, 90.00 degrees
Space group I-42d (No. 122)
One atom of each set of equivalent atoms:
1 Y 0.000 0.000 0.000 (multiplicity 4)
2 Tc 0.197 0.250 0.625 (multiplicity 8)
3 Ru 0.000 0.000 0.500 (multiplicity 4)

Computed properties:
E_tot, eV per atom: -8.604
Formation energy, eV per formula unit: 2.1
Magnetic moment, μB/f.u.: 0.00
Calculated volume, A^3/atom: 18.96
Mass density, g/cm³: 8.5

# 3
Entry from Alexandria: a relaxed YTcRu3 crystal (PBE-GGA).

Cell lengths 4.689, 4.689, 4.689 Å; angles 90.00, 90.00, 90.00 degrees
Space group Pm-3m (No. 221)
One atom of each set of equivalent atoms:
1 Y 0.000 0.000 0.000 (multiplicity 1)
2 Tc 0.500 0.500 0.500 (multiplicity 1)
3 Ru 0.000 0.000 0.500 (multiplicity 3)

Computed properties:
E_tot, eV per atom: -6.441
Formation energy, eV per formula unit: 12.5
Magnetic moment, μB/f.u.: 0.01
Calculated volume, A^3/atom: 20.62
Mass density, g/cm³: 7.9

# 4
Entry from Alexandria: a relaxed YTc2Ru crystal (PBE-GGA).

Cell lengths 3.159, 3.159, 6.965 Å; angles 90.00, 90.00, 90.00 degrees
Space group P4mm (No. 99)
One atom of each set of equivalent atoms:
1 Y 0.000 0.000 0.000 (multiplicity 1)
2 Tc 0.000 0.000 0.504 (multiplicity 1)
3 Tc 0.500 0.500 0.697 (multiplicity 1)
4 Ru 0.500 0.500 0.282 (multiplicity 1)

Computed properties:
E_tot, eV per atom: -8.988
Formation energy, eV per formula unit: 0.5
Magnetic moment, μB/f.u.: 0.00
Calculated volume, A^3/atom: 17.37
Mass density, g/cm³: 9.2

# 5
Entry from Alexandria: a relaxed YZrTcRu crystal (PBE-GGA).

Cell lengths 6.698, 6.698, 6.698 Å; angles 90.00, 90.00, 90.00 degrees
Space group F-43m (No. 216)
One atom of each set of equivalent atoms:
1 Y 0.000 0.000 0.000 (multiplicity 4)
2 Zr 0.000 0.000 0.500 (multiplicity 4)
3 Tc 0.250 0.250 0.250 (multiplicity 4)
4 Ru 0.250 0.250 0.750 (multiplicity 4)

Computed properties:
E_tot, eV per atom: -8.883
Formation energy, eV per formula unit: -0.9
Magnetic moment, μB/f.u.: 0.00
Calculated volume, A^3/atom: 18.78
Mass density, g/cm³: 8.4

# 6
Entry from Alexandria: a relaxed Zn2TcRu crystal (PBE-GGA).

Cell lengths 3.013, 3.013, 6.149 Å; angles 90.00, 90.00, 90.00 degrees
Space group P4/mmm (No. 123)
One atom of each set of equivalent atoms:
1 Zn 0.000 0.000 0.243 (multiplicity 2)
2 Tc 0.500 0.500 0.500 (multiplicity 1)
3 Ru 0.500 0.500 0.000 (multiplicity 1)

Computed properties:
E_tot, eV per atom: -5.322
Formation energy, eV per formula unit: 0.9
Magnetic moment, μB/f.u.: 0.14
Calculated volume, A^3/atom: 13.96
Mass density, g/cm³: 9.8